Cu2GeO | PBE-GGA | optimized geometry

Calculated values
excess energy over the best structure of this formula in the dataset	339	meV/atom
M_tot	0.0	μB/f.u.
SG	Fm-3m (225)
energy	-4.22	eV/atom
formation energy from raw total energies	0.221	eV per atom

Unit cell a=4.1259 b=4.1259 c=4.1259 alpha=60.00 beta=60.00 gamma=60.00
Closest atoms and distances in Å follow each position.
Element x y z (fractional)
Cu 0.2500 0.2500 0.2500  4 Ge 2.53, 4 O 2.53
Cu 0.7500 0.7500 0.7500  4 Ge 2.53, 4 O 2.53
Ge 0.0000 0.0000 0.0000  8 Cu 2.53
O 0.5000 0.5000 0.5000  8 Cu 2.53